1.
Entry from Alexandria via LeMat-Bulk: crystalline Tm5Sb2Pt at its relaxed geometry (GGA-PBE).

Computed properties:
The magnetic moment comes out at 0.0 μB/f.u. As for the crystal system: orthorhombic. For the energy relative to the lowest polymorph listed for this composition, the calculation gives 0.000 eV/atom. As for the formation energy (no corrections): -0.92 eV per atom.

a b c (Å): 7.8303 12.0599 4.4824
angles (deg): 90.00 90.00 90.00
Last column: nearest neighbours and their distance in Å.
Space group Pbam (No. 55)
Inequivalent atoms, fractional coordinates:
Tm 0.0000 0.0000 0.0000  4 Sb 3.10, 4 Tm 3.44
Tm 0.1478 0.2944 0.0000  1 Pt 2.74
Tm 0.1836 0.5676 0.5000  2 Pt 2.78
Sb 0.0679 0.8285 0.5000  8 Tm 3.10-3.27
Pt 0.0000 0.5000 0.0000  6 Tm 2.74-2.78

---

2.
Entry from Alexandria via LeMat-Bulk: crystalline Tm7Sb2Pt2 at its relaxed geometry (GGA-PBE).

Computed properties:
The magnetic moment comes out at 0.0 μB/f.u. As for the crystal system: orthorhombic. For the energy relative to the lowest polymorph listed for this composition, the calculation gives 0.184 eV/atom. As for the formation energy (no corrections): -0.73 eV per atom.

a b c (Å): 8.7107 10.5380 6.9204
angles (deg): 90.00 90.00 90.00
Last column: nearest neighbours and their distance in Å.
Space group Cmmm (No. 65)
Inequivalent atoms, fractional coordinates:
Tm 0.0000 0.0000 0.0000  2 Pt 2.94
Tm 0.0000 0.5000 0.2381  2 Pt 2.85, 2 Sb 3.15
Tm 0.2500 0.2500 0.2471  2 Pt 2.79
Sb 0.2039 0.0000 0.5000  6 Tm 3.15-3.19
Pt 0.0000 0.2793 0.0000  7 Tm 2.79-2.94

---

3.
Entry from Alexandria via LeMat-Bulk: crystalline TmSb2Pt7 at its relaxed geometry (GGA-PBE).

Computed properties:
The magnetic moment comes out at 0.0 μB/f.u. As for the crystal system: tetragonal. As for the formation energy (no corrections): -0.63 eV per atom.

a b c (Å): 4.0433 4.0433 22.9667
angles (deg): 90.00 90.00 90.00
Last column: nearest neighbours and their distance in Å.
Space group I4/mmm (No. 139)
Inequivalent atoms, fractional coordinates:
Tm 0.0000 0.0000 0.0000  12 Pt 2.86-2.91
Sb 0.0000 0.0000 0.3307  8 Pt 2.70-2.74
Pt 0.0000 0.0000 0.5000  4 Tm 2.86, 8 Pt 2.91
Pt 0.0000 0.5000 0.0912  2 Sb 2.70, 6 Pt 2.86-2.91, 2 Tm 2.91
Pt 0.0000 0.5000 0.2500  4 Sb 2.74, 4 Pt 2.86

---

4.
Entry from Alexandria via LeMat-Bulk: crystalline U2SbPt9 at its relaxed geometry (GGA-PBE).

Computed properties:
The magnetic moment comes out at 4.0 μB/f.u. As for the crystal system: tetragonal. As for the formation energy (no corrections): -0.53 eV per atom.

a b c (Å): 4.1521 4.1521 12.3410
angles (deg): 90.00 90.00 90.00
Last column: nearest neighbours and their distance in Å.
Space group P4/mmm (No. 123)
Inequivalent atoms, fractional coordinates:
U 0.0000 0.0000 0.1695  12 Pt 2.89-2.95
Sb 0.0000 0.0000 0.5000  12 Pt 2.93-2.94
Pt 0.0000 0.5000 0.0000  8 Pt 2.94, 4 U 2.95
Pt 0.0000 0.5000 0.3327  2 U 2.89, 8 Pt 2.90-2.94, 2 Sb 2.93
Pt 0.5000 0.5000 0.1681  8 Pt 2.90-2.94, 4 U 2.94
Pt 0.5000 0.5000 0.5000  8 Pt 2.93, 4 Sb 2.94

---

5.
Entry from Alexandria via LeMat-Bulk: crystalline USb2Pt at its relaxed geometry (GGA-PBE).

Computed properties:
The magnetic moment comes out at 1.5 μB/f.u. As for the crystal system: tetragonal. As for the formation energy (no corrections): -0.35 eV per atom.

a b c (Å): 4.6800 4.6800 4.0095
angles (deg): 90.00 90.00 90.00
Last column: nearest neighbours and their distance in Å.
Space group P4/mmm (No. 123)
Inequivalent atoms, fractional coordinates:
U 0.0000 0.0000 0.0000  8 Sb 3.08, 4 Pt 3.31
Sb 0.0000 0.5000 0.5000  4 U 3.08, 4 Pt 3.08, 4 Sb 3.31
Pt 0.5000 0.5000 0.0000  8 Sb 3.08, 4 U 3.31

---

6.
Entry from Alexandria via LeMat-Bulk: crystalline USb8Pt2 at its relaxed geometry (GGA-PBE).

Computed properties:
The magnetic moment comes out at 2.2 μB/f.u. As for the crystal system: monoclinic. As for the formation energy (no corrections): -0.07 eV per atom.

a b c (Å): 8.7293 8.9504 8.6192
angles (deg): 90.00 102.17 90.00
Last column: nearest neighbours and their distance in Å.
Space group C2/m (No. 12)
Inequivalent atoms, fractional coordinates:
U 0.0000 0.0000 0.0000  2 Pt 2.84
Sb 0.0284 0.5000 0.1744  1 Pt 2.78, 3 Sb 2.94-2.97
Sb 0.1623 0.0000 0.4080  2 Pt 2.72-2.86, 2 Sb 3.00
Sb 0.2270 0.2852 0.8114  1 Pt 2.69, 2 Sb 2.97-3.00
Pt 0.1469 0.0000 0.7361  5 Sb 2.69-2.86, 1 U 2.84